No. 1
Density functional theory data (PBE) for SmGaBi after structural relaxation.

Calculated values
Symmetry: P3m1 (156)
Fermi-level density of states in states/eV per cell: 1.94
Total magnetic moment in μB per cell: 0.00
Mass density in g/cm3: 8.51
Formation energy from the elements in eV/atom: -0.403

Geometry as CIF:
```
data_SmGaBi
_cell_length_a 4.097
_cell_length_b 4.857
_cell_length_c 4.857
_cell_angle_alpha 120.00
_cell_angle_beta 90.00
_cell_angle_gamma 90.00
_space_group_name_H-M_alt 'P 1'
_space_group_IT_number 1
loop_
_space_group_symop_operation_xyz
'x,y,z'
loop_
_atom_site_label
_atom_site_fract_x
_atom_site_fract_y
_atom_site_fract_z
Ga1 0.946 0.000 0.000
Bi1 0.757 0.667 0.333
Sm1 0.296 0.333 0.667
```



No. 2
Density functional theory data (PBE) for Ti2PdAu2 after structural relaxation.

Calculated values
Symmetry: P4/mbm (127)
Fermi-level density of states in states/eV per cell: 9.65
Total magnetic moment in μB per cell: 0.00
Mass density in g/cm3: 11.22
Formation energy from the elements in eV/atom: -0.171

Geometry as CIF:
```
data_Ti2PdAu2
_cell_length_a 7.774
_cell_length_b 7.774
_cell_length_c 2.919
_cell_angle_alpha 90.00
_cell_angle_beta 90.00
_cell_angle_gamma 90.00
_space_group_name_H-M_alt 'P 1'
_space_group_IT_number 1
loop_
_space_group_symop_operation_xyz
'x,y,z'
loop_
_atom_site_label
_atom_site_fract_x
_atom_site_fract_y
_atom_site_fract_z
Au1 0.134 0.634 0.500
Au2 0.634 0.866 0.500
Au3 0.866 0.366 0.500
Au4 0.366 0.134 0.500
Pd1 0.000 0.000 0.000
Pd2 0.500 0.500 0.000
Ti1 0.336 0.836 0.000
Ti2 0.836 0.664 0.000
Ti3 0.664 0.164 0.000
Ti4 0.164 0.336 0.000
```



Q: formation energy from the elements of number 1 (SmGaBi)?
A: -0.403 eV/atom



Q: Which value of formation energy from the elements does entry 1 give?
A: -0.403 eV/atom